# 1
The following is a DFT calculation (GGA-PBE) of crystalline InAgPd4 at its relaxed geometry.

Computed properties:
Its relative energy among the computed polymorphs is 205.7 meV per atom. Its space group is F-43m (216). The calculated total energy comes out at -26.78 eV for the cell shown.

POSCAR file:
```
InAgPd4
1.0
-0.931 4.836 1.967
-1.716 0.548 4.987
3.214 2.020 3.703
Pd Ag In
4 1 1
direct
0.625 0.625 0.125 Pd
0.625 0.125 0.625 Pd
0.625 0.625 0.625 Pd
0.125 0.625 0.625 Pd
0.000 0.000 0.000 Ag
0.250 0.250 0.250 In
```


# 2
The following is a DFT calculation (GGA-PBE) of crystalline InAg2Pd6 at its relaxed geometry.

Computed properties:
Its relative energy among the computed polymorphs is 105.7 meV per atom. Its space group is C2/m (12). The calculated total energy comes out at -40.06 eV for the cell shown.

POSCAR file:
```
InAg2Pd6
1.0
2.829 0.000 -0.096
0.000 7.714 0.000
-1.176 -3.857 7.107
In Ag Pd
1 2 6
direct
0.000 0.000 0.000 In
0.658 0.665 0.331 Ag
0.342 0.335 0.669 Ag
0.164 0.351 0.334 Pd
0.836 0.018 0.666 Pd
0.836 0.649 0.666 Pd
0.500 0.307 0.000 Pd
0.164 0.982 0.334 Pd
0.500 0.693 0.000 Pd
```


# 3
The following is a DFT calculation (GGA-PBE) of crystalline In2Ag2Pd7 at its relaxed geometry.

Computed properties:
Its space group is Cmmm (65). The calculated total energy comes out at -45.56 eV for the cell shown.

POSCAR file:
```
In2Ag2Pd7
1.0
5.514 -0.002 0.024
0.004 7.240 0.003
-0.320 -0.002 5.505
In Ag Pd
2 2 7
direct
0.811 0.500 0.811 In
0.189 0.500 0.189 In
0.670 0.000 0.330 Ag
0.330 0.000 0.670 Ag
0.000 0.257 0.500 Pd
0.500 0.743 0.000 Pd
0.000 0.743 0.500 Pd
0.500 0.257 0.000 Pd
0.000 0.000 0.000 Pd
0.500 0.682 0.500 Pd
0.500 0.318 0.500 Pd
```


# 4
The following is a DFT calculation (GGA-PBE) of crystalline In4AgPd at its relaxed geometry.

Computed properties:
Its space group is P4/mmm (123). The calculated total energy comes out at -20.20 eV for the cell shown.

POSCAR file:
```
In4AgPd
1.0
-3.842 0.678 2.537
-2.179 -3.334 -2.409
2.066 -4.479 4.327
In Ag Pd
4 1 1
direct
0.501 0.997 0.257 In
0.501 0.998 0.739 In
0.001 0.497 0.739 In
0.001 0.497 0.257 In
0.501 0.497 0.998 Ag
0.001 0.997 0.498 Pd
```


# 5
The following is a DFT calculation (GGA-PBE) of crystalline InAgPd4 at its relaxed geometry.

Computed properties:
Its relative energy among the computed polymorphs is 0.0 meV per atom. Its space group is C2/m (12). The calculated total energy comes out at -28.01 eV for the cell shown.

POSCAR file:
```
InAgPd4
1.0
3.824 0.000 1.106
2.139 4.439 -0.230
0.271 -1.659 6.225
In Ag Pd
1 1 4
direct
0.500 0.500 0.500 In
0.000 0.000 0.000 Ag
0.834 0.498 0.833 Pd
0.332 0.002 0.334 Pd
0.166 0.502 0.167 Pd
0.668 0.998 0.666 Pd
```


# 6
The following is a DFT calculation (GGA-PBE) of crystalline In2AgPd5 at its relaxed geometry.

Computed properties:
Its space group is Pbam (55). The calculated total energy comes out at -75.21 eV for the cell shown.

POSCAR file:
```
In2AgPd5
1.0
-3.422 0.431 2.337
1.444 -4.627 2.968
5.791 6.480 7.285
In Ag Pd
4 2 10
direct
0.500 0.278 0.368 In
0.500 0.722 0.632 In
0.500 0.222 0.868 In
0.500 0.778 0.132 In
0.000 0.000 0.500 Ag
0.000 0.500 0.000 Ag
0.500 0.271 0.121 Pd
0.500 0.729 0.879 Pd
0.500 0.771 0.379 Pd
0.500 0.229 0.621 Pd
0.000 0.970 0.749 Pd
0.000 0.030 0.251 Pd
0.000 0.470 0.751 Pd
0.000 0.530 0.249 Pd
0.000 0.500 0.500 Pd
0.000 0.000 0.000 Pd
```


| no. | magnetization (μB per cell) |
| --- | --- |
| 1 | 0.00 |
| 2 | 0.00 |
| 3 | 0.00 |
| 4 | 0.00 |
| 5 | 0.00 |
| 6 | 0.00 |